Entry 1:
Sc5Tl2AgRh2 after structural relaxation, computed with PBE.

Properties
E_tot: -58.87 eV/f.u.
size of the total moment: 0.00 μB per formula unit

Unit cell a=11.1961 b=11.1961 c=3.4074 alpha=90.00 beta=90.00 gamma=90.00
Closest atoms and distances in Å follow each position.
Element x y z (fractional)
Sc  0.0000  0.5000  0.0000  4 Rh 2.70
Sc  0.0767  0.2006  0.0000  2 Rh 2.60
Sc  0.2006  0.9233  0.0000  2 Rh 2.60
Sc  0.2994  0.4233  0.0000  2 Rh 2.60
Sc  0.4233  0.7006  0.0000  2 Rh 2.60
Sc  0.5000  0.0000  0.0000  4 Rh 2.70
Sc  0.5767  0.2994  0.0000  2 Rh 2.60
Sc  0.7006  0.5767  0.0000  2 Rh 2.60
Sc  0.7994  0.0767  0.0000  2 Rh 2.60
Sc  0.9233  0.7994  0.0000  2 Rh 2.60
Tl  0.1702  0.6702  0.5000  3 Rh 3.12-3.42, 6 Sc 3.19-3.32, 2 Tl 3.41
Tl  0.3298  0.1702  0.5000  3 Rh 3.12-3.42, 6 Sc 3.19-3.32, 2 Tl 3.41
Tl  0.6702  0.8298  0.5000  3 Rh 3.12-3.42, 6 Sc 3.19-3.32, 2 Tl 3.41
Tl  0.8298  0.3298  0.5000  3 Rh 3.12-3.42, 6 Sc 3.19-3.32, 2 Tl 3.41
Ag  0.0000  0.0000  0.5000  8 Sc 2.95
Ag  0.5000  0.5000  0.5000  8 Sc 2.95
Rh  0.1327  0.3673  0.5000  6 Sc 2.60-2.70
Rh  0.3673  0.8673  0.5000  6 Sc 2.60-2.70
Rh  0.6327  0.1327  0.5000  6 Sc 2.60-2.70
Rh  0.8673  0.6327  0.5000  6 Sc 2.60-2.70

Entry 2:
CeNdCoPd after structural relaxation, computed with PBE.

Properties
E_tot: -24.18 eV/f.u.
size of the total moment: 0.47 μB per formula unit

Unit cell a=4.9730 b=4.9730 c=4.9730 alpha=60.00 beta=60.00 gamma=60.00
Closest atoms and distances in Å follow each position.
Element x y z (fractional)
Ce  0.0000  0.0000  0.0000  4 Co 3.05, 4 Pd 3.05
Nd  0.5000  0.5000  0.5000  4 Pd 3.05, 4 Co 3.05
Co  0.7500  0.7500  0.7500  4 Nd 3.05, 4 Ce 3.05
Pd  0.2500  0.2500  0.2500  4 Nd 3.05, 4 Ce 3.05

Number 1 is which compound?
Sc5Tl2AgRh2

Repeat the first record exactly.
Sc5Tl2AgRh2 after structural relaxation, computed with PBE.

Properties
E_tot: -58.87 eV/f.u.
size of the total moment: 0.00 μB per formula unit

Unit cell a=11.1961 b=11.1961 c=3.4074 alpha=90.00 beta=90.00 gamma=90.00
Closest atoms and distances in Å follow each position.
Element x y z (fractional)
Sc  0.0000  0.5000  0.0000  4 Rh 2.70
Sc  0.0767  0.2006  0.0000  2 Rh 2.60
Sc  0.2006  0.9233  0.0000  2 Rh 2.60
Sc  0.2994  0.4233  0.0000  2 Rh 2.60
Sc  0.4233  0.7006  0.0000  2 Rh 2.60
Sc  0.5000  0.0000  0.0000  4 Rh 2.70
Sc  0.5767  0.2994  0.0000  2 Rh 2.60
Sc  0.7006  0.5767  0.0000  2 Rh 2.60
Sc  0.7994  0.0767  0.0000  2 Rh 2.60
Sc  0.9233  0.7994  0.0000  2 Rh 2.60
Tl  0.1702  0.6702  0.5000  3 Rh 3.12-3.42, 6 Sc 3.19-3.32, 2 Tl 3.41
Tl  0.3298  0.1702  0.5000  3 Rh 3.12-3.42, 6 Sc 3.19-3.32, 2 Tl 3.41
Tl  0.6702  0.8298  0.5000  3 Rh 3.12-3.42, 6 Sc 3.19-3.32, 2 Tl 3.41
Tl  0.8298  0.3298  0.5000  3 Rh 3.12-3.42, 6 Sc 3.19-3.32, 2 Tl 3.41
Ag  0.0000  0.0000  0.5000  8 Sc 2.95
Ag  0.5000  0.5000  0.5000  8 Sc 2.95
Rh  0.1327  0.3673  0.5000  6 Sc 2.60-2.70
Rh  0.3673  0.8673  0.5000  6 Sc 2.60-2.70
Rh  0.6327  0.1327  0.5000  6 Sc 2.60-2.70
Rh  0.8673  0.6327  0.5000  6 Sc 2.60-2.70

Among the records above, which one has the lowest size of the total moment?
Sc5Tl2AgRh2